No. 1
First-principles (PBE) data for a relaxed structure of Tb9Pr4Hg11, as listed in the Alexandria database.

calculated volume: 27.1 A^3/atom
DOS(E_F): 53.170 states/eV/cell
ΔH_f (0 K): -0.3747 eV per atom

Structure (CIF):
```
data_Tb9Pr4Hg11
_chemical_formula_sum 'Tb18 Pr8 Hg22'
_cell_length_a 16.069
_cell_length_b 22.492
_cell_length_c 3.603
_cell_angle_alpha 90.00
_cell_angle_beta 90.00
_cell_angle_gamma 90.00
_symmetry_space_group_name_H-M 'C m m m'
_symmetry_Int_Tables_number 65
_symmetry_space_group_name_Hall '-C 2 2'
loop_
_atom_site_label
_atom_site_type_symbol
_atom_site_fract_x
_atom_site_fract_y
_atom_site_fract_z
_atom_site_occupancy
Tb1 Tb 0.000 0.000 0.000 1
Tb2 Tb 0.111 0.407 0.000 1
Tb3 Tb 0.117 0.234 0.000 1
Pr1 Pr 0.162 0.084 0.000 1
Hg1 Hg 0.000 0.134 0.500 1
Hg2 Hg 0.000 0.318 0.500 1
Hg3 Hg 0.000 0.500 0.500 1
Hg4 Hg 0.210 0.500 0.500 1
Hg5 Hg 0.228 0.320 0.500 1
```



No. 2
First-principles (PBE) data for a relaxed structure of TbPrHg3, as listed in the Alexandria database.

calculated volume: 30.4 A^3/atom
DOS(E_F): 10.001 states/eV/cell
ΔH_f (0 K): -0.0877 eV per atom

Structure (CIF):
```
data_TbPrHg3
_chemical_formula_sum 'Tb2 Pr2 Hg6'
_cell_length_a 7.3841
_cell_length_b 7.3841
_cell_length_c 6.4273
_cell_angle_alpha 90.00
_cell_angle_beta 90.00
_cell_angle_gamma 120.00
_symmetry_space_group_name_H-M 'P 63/m m c'
_symmetry_Int_Tables_number 194
_symmetry_space_group_name_Hall '-P 6c 2c'
loop_
_atom_site_label
_atom_site_type_symbol
_atom_site_fract_x
_atom_site_fract_y
_atom_site_fract_z
_atom_site_occupancy
Tb1 Tb 0.3333 0.6667 0.2500 1
Pr1 Pr 0.0000 0.0000 0.0000 1
Hg1 Hg 0.2043 0.4086 0.7500 1
```